No. 1
# InMoN3

A relaxed structure of InMoN3 (PBE, Alexandria).

**Formation energy from raw total energies**: 0.597 eV/atom
**Symmetry**: No. 221

Lattice parameters (Å, degrees): 3.988 3.988 3.988 90.00 90.00 90.00
Atoms (fractional coordinates):
In 0.000 0.000 0.000
Mo 0.500 0.500 0.500
N 0.000 0.500 0.500
N 0.500 0.000 0.500
N 0.500 0.500 0.000



No. 2
# BeSiSeN2

A relaxed structure of BeSiSeN2 (PBE, Alexandria).

**Formation energy from raw total energies**: 1.159 eV/atom
**Symmetry**: No. 123
**Energy above the most stable polymorph in this dataset**: 722 meV/atom

Lattice parameters (Å, degrees): 3.471 3.471 5.486 90.00 90.00 90.00
Atoms (fractional coordinates):
Be 0.000 0.000 0.000
Si 0.500 0.500 0.500
Se 0.000 0.000 0.500
N 0.000 0.500 0.000
N 0.500 0.000 0.000



No. 3
# CoCu2Ru

A relaxed structure of CoCu2Ru (PBE, Alexandria).

**Symmetry**: No. 8
**Energy above the most stable polymorph in this dataset**: 57 meV/atom
**Formation energy from the elements**: 212 meV per atom

Lattice parameters (Å, degrees): 4.467 4.467 4.587 98.76 98.76 33.10
Atoms (fractional coordinates):
Co 0.000 0.000 0.000
Cu 0.500 0.500 0.501
Cu 0.749 0.749 0.286
Ru 0.254 0.254 0.794